# 1
Na3HfAs2O8 | PBE | relaxed

Computed properties:
The space group is No. 164. The value obtained for the volume is 199.4 Å³/f.u. For the total energy, the calculation gives -0.4631 Ry/atom.

a = 5.7372 Å, b = 5.7372 Å, c = 6.9964 Å
α = 90.00°, β = 90.00°, γ = 120.00°
Element x y z (fractional)
Na 0.3333 0.6667 0.6650
Na 0.6667 0.3333 0.3350
Na 0.0000 0.0000 0.0000
Hf 0.0000 0.0000 0.5000
As 0.3333 0.6667 0.2177
As 0.6667 0.3333 0.7823
O 0.3333 0.6667 0.9765
O 0.6667 0.3333 0.0235
O 0.1678 0.8322 0.3238
O 0.8322 0.1678 0.6762
O 0.1678 0.3356 0.3238
O 0.8322 0.6644 0.6762
O 0.6644 0.8322 0.3238
O 0.3356 0.1678 0.6762

***

# 2
YMg2Rh | PBE | relaxed

Computed properties:
The space group is No. 62. The value obtained for the volume is 86.3 Å³/f.u. The calculation puts the formation energy from the elements at -484 meV per atom.

a = 5.4151 Å, b = 8.3531 Å, c = 15.2626 Å
α = 90.00°, β = 90.00°, γ = 90.00°
Element x y z (fractional)
Y 0.4595 0.2500 0.1371
Y 0.9595 0.7500 0.3629
Y 0.5405 0.7500 0.8629
Y 0.0405 0.2500 0.6371
Y 0.7521 0.2500 0.3948
Y 0.2521 0.7500 0.1052
Y 0.2479 0.7500 0.6052
Y 0.7479 0.2500 0.8948
Mg 0.9655 0.0560 0.2124
Mg 0.4655 0.9440 0.2876
Mg 0.0345 0.5560 0.7876
Mg 0.5345 0.4440 0.7124
Mg 0.0345 0.9440 0.7876
Mg 0.5345 0.0560 0.7124
Mg 0.9655 0.4440 0.2124
Mg 0.4655 0.5560 0.2876
Mg 0.7620 0.5553 0.0406
Mg 0.2620 0.4447 0.4594
Mg 0.2380 0.0553 0.9594
Mg 0.7380 0.9447 0.5406
Mg 0.2380 0.4447 0.9594
Mg 0.7380 0.5553 0.5406
Mg 0.7620 0.9447 0.0406
Mg 0.2620 0.0553 0.4594
Rh 0.2628 0.2500 0.3117
Rh 0.7628 0.7500 0.1883
Rh 0.7372 0.7500 0.6883
Rh 0.2372 0.2500 0.8117
Rh 0.9607 0.2500 0.0675
Rh 0.4607 0.7500 0.4325
Rh 0.0393 0.7500 0.9325
Rh 0.5393 0.2500 0.5675